Record 1
! LaZn2Br, relaxed, DFT PBE; values from VASP
! Crystal system   monoclinic
! Magnetic moment   0.00 Bohr magnetons per cell
! Raw formation energy   -611 meV per atom
! Energy above the most stable polymorph in this dataset   0 meV/atom
&SYSTEM
  ibrav = 0, nat = 4, ntyp = 3
/
ATOMIC_SPECIES
La 138.91 La.upf
Zn 65.41 Zn.upf
Br 79.90 Br.upf
ATOMIC_POSITIONS angstrom
La 0.000 0.000 0.000
Zn 2.354 0.000 5.322
Zn 4.839 0.000 5.357
Br 2.464 0.000 1.876
CELL_PARAMETERS angstrom
3.915 -2.057 0.000
3.915 2.057 0.000
-0.100 0.000 7.385

Record 2
! La2ZnBr, relaxed, DFT PBE; values from VASP
! Crystal system   monoclinic
! Magnetic moment   0.00 Bohr magnetons per cell
! Raw formation energy   -750 meV per atom
! Energy above the most stable polymorph in this dataset   60 meV/atom
&SYSTEM
  ibrav = 0, nat = 4, ntyp = 3
/
ATOMIC_SPECIES
La 138.91 La.upf
Zn 65.41 Zn.upf
Br 79.90 Br.upf
ATOMIC_POSITIONS angstrom
La 0.001 0.000 1.826
La 3.718 0.000 6.877
Zn 1.873 1.875 0.000
Br -0.014 1.875 4.351
CELL_PARAMETERS angstrom
3.746 0.000 0.000
0.000 3.751 0.000
-0.027 0.000 8.703

Record 3
! La2ZnBr, relaxed, DFT PBE; values from VASP
! Crystal system   orthorhombic
! Magnetic moment   0.00 Bohr magnetons per cell
! Raw formation energy   -714 meV per atom
! Energy above the most stable polymorph in this dataset   96 meV/atom
&SYSTEM
  ibrav = 0, nat = 4, ntyp = 3
/
ATOMIC_SPECIES
La 138.91 La.upf
Zn 65.41 Zn.upf
Br 79.90 Br.upf
ATOMIC_POSITIONS angstrom
La 0.000 0.000 0.000
La 2.562 0.000 2.998
Zn 0.000 0.000 8.841
Br 2.562 0.000 6.073
CELL_PARAMETERS angstrom
5.123 0.000 0.000
0.000 1.848 5.947
0.000 -1.848 5.947

Record 4
! La2ZnBr, relaxed, DFT PBE; values from VASP
! Crystal system   cubic
! Magnetic moment   0.01 Bohr magnetons per cell
! Raw formation energy   -73 meV per atom
! Energy above the most stable polymorph in this dataset   737 meV/atom
&SYSTEM
  ibrav = 0, nat = 4, ntyp = 3
/
ATOMIC_SPECIES
La 138.91 La.upf
Zn 65.41 Zn.upf
Br 79.90 Br.upf
ATOMIC_POSITIONS angstrom
La 0.000 0.000 0.000
La 1.896 1.896 1.896
Zn 5.689 5.689 5.689
Br 3.793 3.793 3.793
CELL_PARAMETERS angstrom
0.000 3.793 3.793
3.793 0.000 3.793
3.793 3.793 0.000

Record 5
! LaZrBr, relaxed, DFT PBE; values from VASP
! Crystal system   hexagonal
! Magnetic moment   0.00 Bohr magnetons per cell
! Raw formation energy   -116 meV per atom
! Energy above the most stable polymorph in this dataset   379 meV/atom
&SYSTEM
  ibrav = 0, nat = 3, ntyp = 3
/
ATOMIC_SPECIES
La 138.91 La.upf
Zr 91.22 Zr.upf
Br 79.90 Br.upf
ATOMIC_POSITIONS angstrom
La 0.000 0.000 0.000
Zr 2.534 1.463 1.775
Br 0.000 2.926 1.775
CELL_PARAMETERS angstrom
5.068 0.000 0.000
-2.534 4.389 0.000
0.000 0.000 3.551

Record 6
! La4ZrBr, relaxed, DFT PBE; values from VASP
! Crystal system   cubic
! Magnetic moment   0.06 Bohr magnetons per cell
! Raw formation energy   350 meV per atom
&SYSTEM
  ibrav = 0, nat = 6, ntyp = 3
/
ATOMIC_SPECIES
La 138.91 La.upf
Zr 91.22 Zr.upf
Br 79.90 Br.upf
ATOMIC_POSITIONS angstrom
La 1.119 1.119 1.119
La 3.491 3.491 1.119
La 3.491 1.119 3.491
La 1.119 3.491 3.491
Zr 6.915 6.915 6.915
Br 4.610 4.610 4.610
CELL_PARAMETERS angstrom
0.000 4.610 4.610
4.610 0.000 4.610
4.610 4.610 0.000

Record 7
! LaZrBr, relaxed, DFT PBE; values from VASP
! Crystal system   trigonal
! Magnetic moment   0.00 Bohr magnetons per cell
! Raw formation energy   -495 meV per atom
! Energy above the most stable polymorph in this dataset   0 meV/atom
&SYSTEM
  ibrav = 0, nat = 3, ntyp = 3
/
ATOMIC_SPECIES
La 138.91 La.upf
Zr 91.22 Zr.upf
Br 79.90 Br.upf
ATOMIC_POSITIONS angstrom
La 0.000 0.000 0.000
Zr 1.777 1.026 2.637
Br 0.000 2.052 4.631
CELL_PARAMETERS angstrom
3.554 0.000 0.000
-1.777 3.077 0.000
0.000 0.000 7.624

Record 8
! LaZrBr, relaxed, DFT PBE; values from VASP
! Crystal system   cubic
! Magnetic moment   4.26 Bohr magnetons per cell
! Raw formation energy   631 meV per atom
! Energy above the most stable polymorph in this dataset   1126 meV/atom
&SYSTEM
  ibrav = 0, nat = 3, ntyp = 3
/
ATOMIC_SPECIES
La 138.91 La.upf
Zr 91.22 Zr.upf
Br 79.90 Br.upf
ATOMIC_POSITIONS angstrom
La 0.000 0.000 0.000
Zr 5.727 5.727 5.727
Br 1.909 1.909 1.909
CELL_PARAMETERS angstrom
0.000 3.818 3.818
3.818 0.000 3.818
3.818 3.818 0.000